Entry a
# TaIr2Rh

A relaxed structure of TaIr2Rh (PBE-GGA, the Alexandria database).

Computed properties:
The crystal system is cubic.

Cell lengths 4.4469, 4.4469, 4.4469 Å; angles 60.00, 60.00, 60.00 degrees
Closest atoms and distances in Å follow each position.
Fractional positions:
1 Ir 0.2500 0.2500 0.2500  4 Ta 2.72, 4 Rh 2.72
2 Ir 0.7500 0.7500 0.7500  4 Ta 2.72, 4 Rh 2.72
3 Rh 0.0000 0.0000 0.0000  8 Ir 2.72
4 Ta 0.5000 0.5000 0.5000  8 Ir 2.72

***

Entry b
# TaIr2Rh

A relaxed structure of TaIr2Rh (PBE-GGA, the Alexandria database).

Computed properties:
The crystal system is orthorhombic.

Cell lengths 2.8171, 3.8597, 5.6022 Å; angles 90.00, 90.00, 90.00 degrees
Closest atoms and distances in Å follow each position.
Fractional positions:
1 Ta 0.5000 0.5000 0.5000  8 Ir 2.79, 2 Rh 2.80, 2 Ta 2.82
2 Ir 0.0000 0.0000 0.7579  4 Ir 2.71-2.89, 4 Rh 2.75, 4 Ta 2.79
3 Ir 0.0000 0.0000 0.2421  4 Ir 2.71-2.89, 4 Rh 2.75, 4 Ta 2.79
4 Rh 0.5000 0.5000 0.0000  8 Ir 2.75, 2 Ta 2.80, 2 Rh 2.82

***

Pick entry b: it beats the second-best structure by 282 meV/atom.

***

Entry a
# TaIrRh

A relaxed structure of TaIrRh (PBE-GGA, the Alexandria database).

Computed properties:
The crystal system is tetragonal.

Cell lengths 3.1163, 3.1163, 10.7642 Å; angles 98.32, 98.32, 90.00 degrees
Closest atoms and distances in Å follow each position.
Fractional positions:
1 Rh 0.0601 0.0601 0.1203  1 Rh 2.53, 4 Ta 2.65
2 Rh 0.9399 0.9399 0.8797  1 Rh 2.53, 4 Ta 2.65
3 Ta 0.6300 0.6300 0.2601  4 Rh 2.65, 4 Ir 2.67
4 Ta 0.3700 0.3700 0.7399  4 Rh 2.65, 4 Ir 2.67
5 Ir 0.7981 0.7981 0.5962  4 Ta 2.67, 1 Rh 2.99
6 Ir 0.2019 0.2019 0.4038  4 Ta 2.67, 1 Rh 2.99

***

Entry b
# TaIrRh

A relaxed structure of TaIrRh (PBE-GGA, the Alexandria database).

Computed properties:
The crystal system is orthorhombic.

Cell lengths 4.8915, 4.8915, 4.8915 Å; angles 146.42, 133.47, 58.60 degrees
Closest atoms and distances in Å follow each position.
Fractional positions:
1 Ta 0.3349 0.3349 0.0000  5 Ir 2.77-2.87, 5 Rh 2.79-2.83, 2 Ta 2.83
2 Ir 0.9986 0.9986 0.0000  5 Ta 2.77-2.87, 5 Rh 2.79-2.83, 2 Ir 2.83
3 Rh 0.6665 0.6665 0.0000  5 Ir 2.79-2.83, 5 Ta 2.79-2.83, 2 Rh 2.83

***

Entry c
# TaIrRh

A relaxed structure of TaIrRh (PBE-GGA, the Alexandria database).

Computed properties:
The crystal system is hexagonal.

Cell lengths 4.4194, 4.4194, 2.7819 Å; angles 90.00, 90.00, 120.00 degrees
Closest atoms and distances in Å follow each position.
Fractional positions:
1 Ta 0.3333 0.6667 0.4990  3 Rh 2.55, 2 Ta 2.78
2 Ir 0.0000 0.0000 0.0004  2 Ir 2.78, 6 Ta 2.90-2.91, 6 Rh 2.91
3 Rh 0.6667 0.3333 0.5007  3 Ta 2.55, 2 Rh 2.78

***

Pick entry b: it beats the second-best structure by 102 meV/atom.

***

Entry a
# TaIrRh

A relaxed structure of TaIrRh (PBE-GGA, the Alexandria database).

Computed properties:
The crystal system is hexagonal.

Cell lengths 4.4270, 4.4273, 5.4931 Å; angles 90.00, 90.00, 120.00 degrees
Closest atoms and distances in Å follow each position.
Fractional positions:
1 Ta 0.6666 0.8331 0.7500  5 Rh 2.56-2.75
2 Ta 0.3334 0.1669 0.2500  5 Rh 2.56-2.75
3 Ir 0.0000 0.5000 0.0000  2 Ir 2.75, 6 Rh 2.90, 6 Ta 2.90
4 Ir 0.0000 0.5000 0.5000  2 Ir 2.75, 6 Rh 2.90, 6 Ta 2.90
5 Rh 0.6668 0.8335 0.2500  5 Ta 2.56-2.75
6 Rh 0.3332 0.1665 0.7500  5 Ta 2.56-2.75

***

Entry b
# TaIrRh

A relaxed structure of TaIrRh (PBE-GGA, the Alexandria database).

Computed properties:
The crystal system is orthorhombic.

Cell lengths 4.4267, 5.2195, 5.2195 Å; angles 64.89, 64.91, 64.91 degrees
Closest atoms and distances in Å follow each position.
Fractional positions:
1 Ta 0.5000 0.7497 0.2503  2 Ta 2.80, 6 Rh 2.89-2.92, 6 Ir 2.90-2.91
2 Ta 0.5000 0.2503 0.7497  2 Ta 2.80, 6 Rh 2.89-2.92, 6 Ir 2.90-2.91
3 Ir 0.1666 0.3334 0.3334  1 Ir 2.54, 4 Rh 2.55-2.80
4 Ir 0.8334 0.6666 0.6666  1 Ir 2.54, 4 Rh 2.55-2.80
5 Rh 0.8321 0.1679 0.1679  4 Ir 2.55-2.80, 1 Rh 2.56
6 Rh 0.1679 0.8321 0.8321  4 Ir 2.55-2.80, 1 Rh 2.56

***

Entry c
# TaIrRh

A relaxed structure of TaIrRh (PBE-GGA, the Alexandria database).

Computed properties:
The crystal system is tetragonal.

Cell lengths 6.1592, 6.1592, 6.1592 Å; angles 153.39, 153.39, 37.98 degrees
Closest atoms and distances in Å follow each position.
Fractional positions:
1 Ta 0.6660 0.6660 0.0000  4 Ir 2.77, 4 Rh 2.78, 4 Ta 2.83
2 Ir 0.0023 0.0023 0.0000  4 Ta 2.77, 4 Rh 2.82, 4 Ir 2.83
3 Rh 0.3317 0.3317 0.0000  4 Ta 2.78, 4 Ir 2.82, 4 Rh 2.83

***

Entry d
# TaIrRh

A relaxed structure of TaIrRh (PBE-GGA, the Alexandria database).

Computed properties:
The crystal system is trigonal.

Cell lengths 2.8190, 2.8190, 6.8220 Å; angles 90.00, 90.00, 120.00 degrees
Closest atoms and distances in Å follow each position.
Fractional positions:
1 Ta 0.3333 0.6667 0.6670  3 Ir 2.75, 3 Rh 2.76, 6 Ta 2.82
2 Ir 0.0000 0.0000 0.9922  3 Ta 2.75, 6 Ir 2.82, 3 Rh 2.88
3 Rh 0.6667 0.3333 0.3408  3 Ta 2.76, 6 Rh 2.82, 3 Ir 2.88

***

Pick entry a: it beats the second-best structure by 195 meV/atom.

***

Entry a
# TaIrRh

A relaxed structure of TaIrRh (PBE-GGA, the Alexandria database).

Computed properties:
The crystal system is cubic.

Cell lengths 4.2919, 4.2919, 4.2919 Å; angles 60.00, 60.00, 60.00 degrees
Closest atoms and distances in Å follow each position.
Fractional positions:
1 Ta 0.5000 0.5000 0.5000  4 Ir 2.63
2 Ir 0.2500 0.2500 0.2500  4 Ta 2.63, 4 Rh 2.63
3 Rh 0.0000 0.0000 0.0000  4 Ir 2.63

***

Entry b
# TaIrRh

A relaxed structure of TaIrRh (PBE-GGA, the Alexandria database).

Computed properties:
The crystal system is cubic.

Cell lengths 4.2647, 4.2647, 4.2647 Å; angles 60.00, 60.00, 60.00 degrees
Closest atoms and distances in Å follow each position.
Fractional positions:
1 Ta 0.0000 0.0000 0.0000  4 Rh 2.61
2 Ir 0.5000 0.5000 0.5000  4 Rh 2.61
3 Rh 0.2500 0.2500 0.2500  4 Ta 2.61, 4 Ir 2.61

***

Entry c
# TaIrRh

A relaxed structure of TaIrRh (PBE-GGA, the Alexandria database).

Computed properties:
The crystal system is cubic.

Cell lengths 4.2565, 4.2565, 4.2565 Å; angles 60.00, 60.00, 60.00 degrees
Closest atoms and distances in Å follow each position.
Fractional positions:
1 Ta 0.2500 0.2500 0.2500  4 Rh 2.61, 4 Ir 2.61
2 Ir 0.0000 0.0000 0.0000  4 Ta 2.61
3 Rh 0.5000 0.5000 0.5000  4 Ta 2.61

***

Pick entry c: it beats the second-best structure by 353 meV/atom.

***

Entry a
# TaTiIrRh

A relaxed structure of TaTiIrRh (PBE-GGA, the Alexandria database).

Computed properties:
The crystal system is tetragonal.

Cell lengths 4.1090, 4.1091, 4.6995 Å; angles 115.93, 115.92, 90.00 degrees
Closest atoms and distances in Å follow each position.
Fractional positions:
1 Ta 0.0000 0.0000 0.0000  4 Ir 2.76, 4 Rh 2.76, 4 Ti 2.91
2 Ti 0.5000 0.5000 0.0000  4 Ir 2.76, 4 Rh 2.76, 4 Ta 2.91
3 Ir 0.2500 0.7500 0.5000  4 Ti 2.76, 4 Ta 2.76, 4 Rh 2.91
4 Rh 0.7500 0.2500 0.5000  4 Ti 2.76, 4 Ta 2.76, 4 Ir 2.91

***

Entry b
# TaTiIrRh

A relaxed structure of TaTiIrRh (PBE-GGA, the Alexandria database).

Computed properties:
The crystal system is cubic.

Cell lengths 4.4749, 4.4749, 4.4749 Å; angles 60.00, 60.00, 60.00 degrees
Closest atoms and distances in Å follow each position.
Fractional positions:
1 Ti 0.7500 0.7500 0.7500  4 Ir 2.74, 4 Rh 2.74
2 Ir 0.0000 0.0000 0.0000  4 Ta 2.74, 4 Ti 2.74
3 Rh 0.5000 0.5000 0.5000  4 Ta 2.74, 4 Ti 2.74
4 Ta 0.2500 0.2500 0.2500  4 Rh 2.74, 4 Ir 2.74

***

Pick entry a: it beats the second-best structure by 118 meV/atom.